Record 1
An optimized crystal structure of In2SiHg, computed with PBE.

Geometry as POSCAR:
```
In2SiHg
1.0
8.768 0.000 0.000
0.000 8.768 0.000
4.384 4.384 2.701
In Hg Si
4 2 2
Direct
0.375 0.450 0.750
0.200 0.625 0.250
0.550 0.125 0.250
0.875 0.800 0.750
0.000 0.000 0.000
0.750 0.250 0.500
0.250 0.750 0.500
0.500 0.500 0.000
```

Values from the calculation:
**Final energy**: -2.5838 eV per atom
**Formation energy without anion corrections**: 217 meV/atom



Record 2
An optimized crystal structure of LiTi2SiSe, computed with PBE.

Geometry as POSCAR:
```
LiTi2SiSe
1.0
-3.609 2.110 -2.228
0.716 -3.045 -4.044
-2.996 -3.167 1.854
Si Li Ti Se
1 1 2 1
Direct
0.000 0.000 0.000
0.500 0.500 0.500
0.000 0.000 0.500
0.500 0.000 0.000
0.000 0.500 0.000
```

Values from the calculation:
**Final energy**: -4.8860 eV per atom
**Formation energy without anion corrections**: 436 meV/atom



Record 3
An optimized crystal structure of PuGa4Cu2Ni, computed with PBE.

Geometry as POSCAR:
```
PuGa4Cu2Ni
1.0
4.154 0.000 0.000
2.077 3.597 0.000
2.077 1.199 8.712
Cu Ga Pu Ni
2 4 1 1
Direct
0.237 0.237 0.289
0.763 0.763 0.711
0.597 0.597 0.208
0.868 0.868 0.397
0.403 0.403 0.792
0.132 0.132 0.603
0.000 0.000 0.000
0.500 0.500 0.500
```

Values from the calculation:
**Final energy**: -5.2728 eV per atom
**DFT formation energy**: -5.10 kcal/mol of atoms



Record 4
An optimized crystal structure of TcPd3O6, computed with PBE.

Geometry as POSCAR:
```
TcPd3O6
1.0
-4.550 -1.040 -2.047
2.280 -2.241 -3.929
0.455 -8.110 4.889
Pd O Tc
6 12 2
Direct
0.494 0.900 0.797
0.506 0.100 0.203
0.000 0.000 0.500
0.994 0.600 0.297
0.006 0.400 0.703
0.500 0.500 0.000
0.188 0.304 0.089
0.858 0.913 0.180
0.358 0.587 0.680
0.325 0.820 0.080
0.642 0.413 0.320
0.688 0.196 0.589
0.825 0.680 0.580
0.175 0.320 0.420
0.675 0.180 0.920
0.312 0.804 0.411
0.142 0.087 0.820
0.812 0.696 0.911
0.500 0.500 0.500
0.000 0.000 0.000
```

Values from the calculation:
**Final energy**: -6.1291 eV per atom
**Formation energy without anion corrections**: -560 meV/atom



Record 5
An optimized crystal structure of Nb6GaC, computed with PBE.

Geometry as POSCAR:
```
Nb6GaC
1.0
5.649 0.010 -0.006
2.821 4.907 0.017
2.804 1.645 5.071
C Nb Ga
1 6 1
Direct
0.000 0.000 0.000
0.213 0.990 0.229
0.012 0.430 0.767
0.572 0.210 0.231
0.428 0.790 0.769
0.787 0.010 0.771
0.988 0.570 0.233
0.500 0.500 0.500
```

Values from the calculation:
**Final energy**: -8.9566 eV per atom
**DFT formation energy**: 2.93 kcal/mol of atoms



Record 6
An optimized crystal structure of AcPm3Y6Ho2, computed with PBE.

Geometry as POSCAR:
```
AcPm3Y6Ho2
1.0
6.268 0.000 0.012
-3.132 5.429 0.012
-1.063 -1.841 11.758
Y Pm Ho Ac
6 3 2 1
Direct
0.579 0.915 0.749
0.085 0.421 0.251
0.421 0.085 0.251
0.748 0.748 0.252
0.915 0.579 0.749
0.252 0.252 0.748
0.833 0.167 0.500
0.500 0.500 0.500
0.167 0.833 0.500
0.667 0.333 0.000
0.333 0.667 0.000
0.000 0.000 0.000
```

Values from the calculation:
**Final energy**: -5.5010 eV per atom
**DFT formation energy**: 0.55 kcal/mol of atoms



no.,N(E_F) (states/eV/f.u.)
1,2.31
2,5.64
3,12.02
4,5.31
5,8.78
6,15.60